GGA-PBE Pr5Ge5Au2, optimized geometry; crystal system = monoclinic; DFT formation energy = -0.744 eV/atom; space-group type = C2/m, No. 12
1.0
7.8142 -2.2091 0.0000
7.8142 2.2091 0.0000
-7.3714 0.0000 8.7712
Pr Ge Au
5 5 2
direct
0.0000 0.0000 0.0000
0.1056 0.1056 0.4179
0.1956 0.1956 0.8246
0.8044 0.8044 0.1754
0.8944 0.8944 0.5821
0.2632 0.2632 0.3260
0.4327 0.4327 0.1432
0.5000 0.5000 0.5000
0.5673 0.5673 0.8568
0.7368 0.7368 0.6740
0.3572 0.3572 0.7466
0.6428 0.6428 0.2534

***

GGA-PBE Sm4Ho3In, optimized geometry; crystal system = orthorhombic; DFT formation energy = -0.096 eV/atom; space-group type = Pmn2_1, No. 31; excess energy over the best structure of this formula in the dataset = 12 meV/atom
1.0
11.2609 0.0000 0.0000
0.0000 7.1119 0.0000
0.0000 0.0000 6.2043
Sm Ho In
8 6 2
direct
0.0000 0.1294 0.0000
0.0000 0.8671 0.4523
0.2318 0.8680 0.8181
0.2682 0.1320 0.3181
0.5000 0.1329 0.9523
0.5000 0.8706 0.5000
0.7318 0.1320 0.3181
0.7682 0.8680 0.8181
0.0000 0.3720 0.4764
0.2458 0.3839 0.7992
0.2542 0.6161 0.2992
0.5000 0.6280 0.9764
0.7458 0.6161 0.2992
0.7542 0.3839 0.7992
0.0000 0.6095 0.9786
0.5000 0.3905 0.4786

***

GGA-PBE Co2SiB, optimized geometry; ΔE_f (raw) = 395 meV per atom; crystal system = tetragonal; space-group type = I-42d, No. 122; excess energy over the best structure of this formula in the dataset = 537 meV/atom
1.0
-2.4983 2.4983 4.1035
2.4983 -2.4983 4.1035
2.4983 2.4983 -4.1035
Co Si B
4 2 2
direct
0.0655 0.6250 0.9405
0.3750 0.3155 0.4405
0.6845 0.1250 0.0595
0.8750 0.9345 0.5595
0.2500 0.7500 0.5000
0.5000 0.5000 0.0000
0.0000 0.0000 0.0000
0.7500 0.2500 0.5000

***

GGA-PBE CrFe2RuC, optimized geometry; crystal system = tetragonal; DFT formation energy = 0.189 eV/atom; space-group type = P4/mmm, No. 123
1.0
3.7145 0.0000 0.0000
0.0000 3.7145 0.0000
0.0000 0.0000 3.8779
Cr Fe Ru C
1 2 1 1
direct
0.0000 0.0000 0.0000
0.0000 0.5000 0.5000
0.5000 0.0000 0.5000
0.5000 0.5000 0.0000
0.0000 0.0000 0.5000